A plane-wave DFT calculation with PBE-GGA was carried out for an optimized crystal structure of ScCrSi.

Results
Its spin magnetization is 1.027 μB per cell. For the raw formation energy, the calculation gives -266 meV/atom. The density comes out at 4.5 Mg/m³.

Structure (POSCAR):
```
ScCrSi
1.0
-1.595 1.595 4.567
1.595 -1.595 4.567
1.595 1.595 -4.567
Sc Cr Si
1 1 1
Cartesian
0.000 0.000 0.000
0.000 0.000 6.321
0.000 0.000 2.767
```